1.
Material: KReW2
Method: DFT, PBE
State: optimized geometry

Summary:
- E_form: 1533 meV per atom
- SG: No. 12
- Total magnetic moment: 0.00 μB/f.u.
- DOS at the Fermi energy: 0.93 states/eV per atom
- Relative energy among the computed polymorphs: 3.030 eV per formula unit
- Calculated total energy: -8.3295 eV/atom

a = 5.6226 Å, b = 5.6354 Å, c = 2.6528 Å
α = 80.71°, β = 81.48°, γ = 117.65°
Atoms (fractional coordinates):
W 0.5000 0.0000 0.5000
K 0.0000 0.5000 0.5000
Re 0.5000 0.5000 0.0000
W 0.0000 0.0000 0.0000



2.
Material: KRe2W
Method: DFT, PBE
State: optimized geometry

Summary:
- E_form: 1344 meV per atom
- SG: No. 44
- Total magnetic moment: 0.00 μB/f.u.
- DOS at the Fermi energy: 1.12 states/eV per atom
- Relative energy among the computed polymorphs: 2.368 eV per formula unit
- Calculated total energy: -8.3930 eV/atom

a = 6.1594 Å, b = 6.1594 Å, c = 6.1594 Å
α = 154.89°, β = 128.27°, γ = 58.34°
Atoms (fractional coordinates):
W 0.5376 0.5376 0.0000
Re 0.7541 0.2541 0.5000
K 0.2465 0.7465 0.5000
Re 0.9617 0.9617 0.0000



3.
Material: KReW
Method: DFT, PBE
State: optimized geometry

Summary:
- E_form: 1655 meV per atom
- SG: No. 44
- Total magnetic moment: 0.00 μB/f.u.
- DOS at the Fermi energy: 0.46 states/eV per atom
- Relative energy among the computed polymorphs: 1.945 eV per formula unit
- Calculated total energy: -7.1779 eV/atom

a = 5.1440 Å, b = 5.1440 Å, c = 5.1440 Å
α = 150.17°, β = 114.60°, γ = 73.51°
Atoms (fractional coordinates):
K 0.9996 0.9996 0.0000
Re 0.3536 0.3536 0.0000
W 0.6468 0.6468 0.0000



Number 1 is which compound?
KReW2



Repeat the first record exactly.
Material: KReW2
Method: DFT, PBE
State: optimized geometry

Summary:
- E_form: 1533 meV per atom
- SG: No. 12
- Total magnetic moment: 0.00 μB/f.u.
- DOS at the Fermi energy: 0.93 states/eV per atom
- Relative energy among the computed polymorphs: 3.030 eV per formula unit
- Calculated total energy: -8.3295 eV/atom

a = 5.6226 Å, b = 5.6354 Å, c = 2.6528 Å
α = 80.71°, β = 81.48°, γ = 117.65°
Atoms (fractional coordinates):
W 0.5000 0.0000 0.5000
K 0.0000 0.5000 0.5000
Re 0.5000 0.5000 0.0000
W 0.0000 0.0000 0.0000



What did the first record say?
Material: KReW2
Method: DFT, PBE
State: optimized geometry

Summary:
- E_form: 1533 meV per atom
- SG: No. 12
- Total magnetic moment: 0.00 μB/f.u.
- DOS at the Fermi energy: 0.93 states/eV per atom
- Relative energy among the computed polymorphs: 3.030 eV per formula unit
- Calculated total energy: -8.3295 eV/atom

a = 5.6226 Å, b = 5.6354 Å, c = 2.6528 Å
α = 80.71°, β = 81.48°, γ = 117.65°
Atoms (fractional coordinates):
W 0.5000 0.0000 0.5000
K 0.0000 0.5000 0.5000
Re 0.5000 0.5000 0.0000
W 0.0000 0.0000 0.0000